# PBE Li2NbAs, optimized geometry
# uncorrected energy: -75.0 eV/cell
# mass density: 5.09 g cm⁻³
data_Li2NbAs
_cell_length_a 6.1887
_cell_length_b 6.1887
_cell_length_c 6.1887
_cell_angle_alpha 90.00
_cell_angle_beta 90.00
_cell_angle_gamma 90.00
_symmetry_space_group_name_H-M 'F -4 3 m'
_symmetry_Int_Tables_number 216
_symmetry_space_group_name_Hall 'F -4 2 3'
loop_
_atom_site_label
_atom_site_fract_x
_atom_site_fract_y
_atom_site_fract_z
Li1 0.0000 0.0000 0.0000
Li2 0.2500 0.2500 0.2500
Nb1 0.2500 0.2500 0.7500
As1 0.0000 0.0000 0.5000